a) Compound: TlHgMo2
Source: Alexandria
Functional: PBE
Structure: optimized geometry

Values from the calculation:
DOS at the Fermi energy (states/eV per cell): 4.11

a = 5.362 Å, b = 5.362 Å, c = 5.362 Å
α = 135.47°, β = 135.47°, γ = 64.79°
Atoms (fractional coordinates):
Mo  0.000  0.000  0.000
Hg  0.750  0.250  0.500
Mo  0.500  0.500  0.000
Tl  0.250  0.750  0.500

---

b) Compound: TlHgMo2
Source: Alexandria
Functional: PBE
Structure: optimized geometry

Values from the calculation:
DOS at the Fermi energy (states/eV per cell): 2.76

a = 3.312 Å, b = 4.740 Å, c = 4.811 Å
α = 90.00°, β = 90.00°, γ = 90.00°
Atoms (fractional coordinates):
Mo  0.500  0.500  0.000
Tl  0.500  0.000  0.500
Mo  0.000  0.000  0.000
Hg  0.000  0.500  0.500

---

Top of the stability list: b), leading by 0.048 eV/atom.

---

a) Compound: TlHgMo
Source: Alexandria
Functional: PBE
Structure: optimized geometry

Values from the calculation:
DOS at the Fermi energy (states/eV per cell): 2.70

a = 7.741 Å, b = 7.741 Å, c = 7.741 Å
α = 158.01°, β = 158.01°, γ = 31.29°
Atoms (fractional coordinates):
Mo  0.339  0.339  0.000
Hg  0.981  0.981  0.000
Tl  0.680  0.680  0.000

---

b) Compound: TlHgMo
Source: Alexandria
Functional: PBE
Structure: optimized geometry

Values from the calculation:
DOS at the Fermi energy (states/eV per cell): 2.04

a = 4.715 Å, b = 4.715 Å, c = 4.715 Å
α = 60.00°, β = 60.00°, γ = 60.00°
Site moments in Bohr magnetons follow the coordinates.
Atoms (fractional coordinates):
Tl  0.000  0.000  0.000  -0.02
Mo  0.750  0.750  0.750  2.07
Hg  0.500  0.500  0.500  0.00

---

c) Compound: TlHgMo
Source: Alexandria
Functional: PBE
Structure: optimized geometry

Values from the calculation:
DOS at the Fermi energy (states/eV per cell): 2.89

a = 6.141 Å, b = 6.141 Å, c = 6.141 Å
α = 151.47°, β = 144.85°, γ = 45.88°
Site moments in Bohr magnetons follow the coordinates.
Atoms (fractional coordinates):
Tl  0.679  0.679  0.000  0.00
Hg  0.984  0.984  0.000  0.00
Mo  0.337  0.337  0.000  0.17

---

d) Compound: TlHgMo
Source: Alexandria
Functional: PBE
Structure: optimized geometry

Values from the calculation:
DOS at the Fermi energy (states/eV per cell): 1.80

a = 3.088 Å, b = 3.088 Å, c = 7.647 Å
α = 90.00°, β = 90.00°, γ = 120.00°
Atoms (fractional coordinates):
Tl  0.333  0.667  0.650
Hg  0.000  0.000  0.022
Mo  0.667  0.333  0.328

---

Top of the stability list: d), leading by 0.045 eV/atom.